Entry 1:
YCoPO2 | PBE with a Hubbard U | relaxed

Uncorrected energy (eV per cell): -31.8
Distance to the lowest polymorph of the same formula (eV per atom): 0.000
Density of states at the Fermi level (states/eV/cell): 2.6

extended XYZ file:
```
5
Lattice="3.931 0.000 0.000 0.000 3.931 0.000 0.000 0.000 4.435" Properties=species:S:1:pos:R:3 pbc="T T T"
Y 0.000 0.000 0.000
Co 1.965 1.965 2.217
P 1.965 1.965 0.000
O 0.000 1.965 2.217
O 1.965 0.000 2.217
```


Entry 2:
YCoP2O | PBE with a Hubbard U | relaxed

Uncorrected energy (eV per cell): -29.7
Distance to the lowest polymorph of the same formula (eV per atom): 0.000
Density of states at the Fermi level (states/eV/cell): 2.1

extended XYZ file:
```
5
Lattice="4.758 0.000 0.000 0.000 4.758 0.000 0.000 0.000 3.560" Properties=species:S:1:pos:R:3 pbc="T T T"
Y 0.000 0.000 0.000
Co 2.379 2.379 1.780
P 0.000 2.379 1.780
P 2.379 0.000 1.780
O 2.379 2.379 0.000
```


Entry 3:
YCoP2O | PBE with a Hubbard U | relaxed

Uncorrected energy (eV per cell): -23.3
Distance to the lowest polymorph of the same formula (eV per atom): 1.277
Density of states at the Fermi level (states/eV/cell): 9.0

extended XYZ file:
```
5
Lattice="5.328 0.000 0.000 0.000 5.328 0.000 0.000 0.000 4.106" Properties=species:S:1:pos:R:3 pbc="T T T"
Y 0.000 0.000 0.000
Co 2.664 2.664 2.053
P 0.000 2.664 0.000
P 2.664 0.000 0.000
O 0.000 0.000 2.053
```


Entry 4:
ZnCoP2O | PBE with a Hubbard U | relaxed

Uncorrected energy (eV per cell): -20.8
Distance to the lowest polymorph of the same formula (eV per atom): 0.000
Density of states at the Fermi level (states/eV/cell): 1.7

extended XYZ file:
```
5
Lattice="4.665 0.000 0.000 0.000 4.665 0.000 0.000 0.000 3.404" Properties=species:S:1:pos:R:3 pbc="T T T"
Zn 0.000 0.000 0.000
Co 2.333 2.333 1.702
P 0.000 2.333 1.702
P 2.333 0.000 1.702
O 2.333 2.333 0.000
```